1.
A relaxed Co5Hg4 crystal. Source: Alexandria via LeMat-Bulk, functional GGA-PBE.

CIF file:
```
data_Co5Hg4
_cell_length_a 6.322
_cell_length_b 6.322
_cell_length_c 6.322
_cell_angle_alpha 95.86
_cell_angle_beta 95.86
_cell_angle_gamma 142.74
_symmetry_space_group_name_H-M 'P 1'
_symmetry_Int_Tables_number 1
_symmetry_space_group_name_Hall 'P 1'
loop_
_atom_site_label
_atom_site_fract_x
_atom_site_fract_y
_atom_site_fract_z
Co1 0.000 0.000 0.000
Co2 0.362 0.362 0.723
Co3 0.362 0.638 0.000
Co4 0.638 0.362 0.000
Co5 0.638 0.638 0.277
Hg1 0.000 0.312 0.312
Hg2 0.000 0.688 0.688
Hg3 0.312 0.000 0.312
Hg4 0.688 0.000 0.688
```

- Energy of formation from the pure elements: 0.4157 eV per atom
- Space group: I4/mmm (139)
- Fermi-level density of states: 10.890 states/eV per cell
- Density: 12.57 g/cm3
- DFT total energy: -3.666 eV/atom
- Size of the total moment: 0.914 μB per atom



2.
A relaxed CoHg crystal. Source: Alexandria via LeMat-Bulk, functional GGA-PBE.

CIF file:
```
data_CoHg
_cell_length_a 5.281
_cell_length_b 5.281
_cell_length_c 5.281
_cell_angle_alpha 90.00
_cell_angle_beta 90.00
_cell_angle_gamma 90.00
_symmetry_space_group_name_H-M 'P 1'
_symmetry_Int_Tables_number 1
_symmetry_space_group_name_Hall 'P 1'
loop_
_atom_site_label
_atom_site_fract_x
_atom_site_fract_y
_atom_site_fract_z
Co1 0.845 0.155 0.000
Co2 0.345 0.345 0.500
Co3 0.655 0.655 0.500
Co4 0.155 0.845 0.000
Hg1 0.687 0.687 0.000
Hg2 0.187 0.813 0.500
Hg3 0.813 0.187 0.500
Hg4 0.313 0.313 0.000
```

- Energy of formation from the pure elements: 0.7291 eV per atom
- Space group: P4_2/mnm (136)
- Fermi-level density of states: 13.940 states/eV per cell
- Density: 11.70 g/cm3
- DFT total energy: -2.975 eV/atom
- Size of the total moment: 0.797 μB per atom



> Number 2 is which compound?

CoHg



> The lowest Fermi-level density of states belongs to which entry?

Co5Hg4



Repeat the first record exactly.
A relaxed Co5Hg4 crystal. Source: Alexandria via LeMat-Bulk, functional GGA-PBE.

CIF file:
```
data_Co5Hg4
_cell_length_a 6.322
_cell_length_b 6.322
_cell_length_c 6.322
_cell_angle_alpha 95.86
_cell_angle_beta 95.86
_cell_angle_gamma 142.74
_symmetry_space_group_name_H-M 'P 1'
_symmetry_Int_Tables_number 1
_symmetry_space_group_name_Hall 'P 1'
loop_
_atom_site_label
_atom_site_fract_x
_atom_site_fract_y
_atom_site_fract_z
Co1 0.000 0.000 0.000
Co2 0.362 0.362 0.723
Co3 0.362 0.638 0.000
Co4 0.638 0.362 0.000
Co5 0.638 0.638 0.277
Hg1 0.000 0.312 0.312
Hg2 0.000 0.688 0.688
Hg3 0.312 0.000 0.312
Hg4 0.688 0.000 0.688
```

- Energy of formation from the pure elements: 0.4157 eV per atom
- Space group: I4/mmm (139)
- Fermi-level density of states: 10.890 states/eV per cell
- Density: 12.57 g/cm3
- DFT total energy: -3.666 eV/atom
- Size of the total moment: 0.914 μB per atom